(1)
TbThTe2Se | GGA-PBE | relaxed

Summary:
- uncorrected formation energy (eV per atom) = -1.38
- spin magnetization (Bohr magnetons per cell) = 0.00

abc: 4.4526 4.4526 14.9755
angles: 90.00 90.00 90.00
Element x y z (fractional)
Tb (0.2500, 0.2500, 0.0854)
Tb (0.7500, 0.7500, 0.9146)
Th (0.2500, 0.2500, 0.6281)
Th (0.7500, 0.7500, 0.3719)
Te (0.2500, 0.2500, 0.2942)
Te (0.2500, 0.2500, 0.8777)
Te (0.7500, 0.7500, 0.1223)
Te (0.7500, 0.7500, 0.7058)
Se (0.2500, 0.7500, 0.5000)
Se (0.7500, 0.2500, 0.5000)

=====

(2)
TbThTeSe | GGA-PBE | relaxed

Summary:
- uncorrected formation energy (eV per atom) = -1.41
- spin magnetization (Bohr magnetons per cell) = 0.00

abc: 8.0466 8.0466 8.0466
angles: 29.51 29.51 29.51
Element x y z (fractional)
Tb (0.0000, 0.0000, 0.0000)
Th (0.8168, 0.8168, 0.8168)
Te (0.5790, 0.5790, 0.5790)
Se (0.4038, 0.4038, 0.4038)

=====

(3)
Tb4TlTe2Se | GGA-PBE | relaxed

Summary:
- uncorrected formation energy (eV per atom) = -1.20
- spin magnetization (Bohr magnetons per cell) = 0.00

abc: 7.4904 4.2787 7.5656
angles: 90.00 108.96 90.00
Element x y z (fractional)
Tb (0.2398, 0.0000, 0.2285)
Tb (0.2512, 0.5000, 0.7621)
Tb (0.7488, 0.5000, 0.2379)
Tb (0.7602, 0.0000, 0.7715)
Tl (0.5000, 0.0000, 0.0000)
Te (0.0000, 0.0000, 0.5000)
Te (0.5000, 0.5000, 0.5000)
Se (0.0000, 0.5000, 0.0000)

=====

(4)
Tb6Tl3TeSe2 | GGA-PBE | relaxed

Summary:
- uncorrected formation energy (eV per atom) = -0.97
- spin magnetization (Bohr magnetons per cell) = 0.00

abc: 10.0407 10.0407 9.1389
angles: 112.27 112.27 23.44
Element x y z (fractional)
Tb (0.0103, 0.0103, 0.2513)
Tb (0.3269, 0.3269, 0.4379)
Tb (0.3317, 0.3317, 0.9038)
Tb (0.6683, 0.6683, 0.0962)
Tb (0.6731, 0.6731, 0.5621)
Tb (0.9897, 0.9897, 0.7487)
Tl (0.1605, 0.1605, 0.8192)
Tl (0.5000, 0.5000, 0.5000)
Tl (0.8395, 0.8395, 0.1808)
Te (0.5000, 0.5000, 0.0000)
Se (0.1682, 0.1682, 0.3283)
Se (0.8318, 0.8318, 0.6717)

=====

(5)
Tb4TlTeSe2 | GGA-PBE | relaxed

Summary:
- uncorrected formation energy (eV per atom) = -1.29
- spin magnetization (Bohr magnetons per cell) = 0.00

abc: 7.4134 4.1431 7.4454
angles: 90.00 108.32 90.00
Element x y z (fractional)
Tb (0.2360, 0.0000, 0.2312)
Tb (0.2542, 0.5000, 0.7660)
Tb (0.7458, 0.5000, 0.2340)
Tb (0.7640, 0.0000, 0.7688)
Tl (0.0000, 0.0000, 0.5000)
Te (0.5000, 0.5000, 0.5000)
Se (0.0000, 0.5000, 0.0000)
Se (0.5000, 0.0000, 0.0000)

=====

(6)
TbTmTeSe | GGA-PBE | relaxed

Summary:
- uncorrected formation energy (eV per atom) = -1.52
- spin magnetization (Bohr magnetons per cell) = 0.00

abc: 7.6782 7.6782 7.6782
angles: 30.69 30.69 30.69
Element x y z (fractional)
Tb (0.0000, 0.0000, 0.0000)
Tm (0.1870, 0.1870, 0.1870)
Te (0.4276, 0.4276, 0.4276)
Se (0.5933, 0.5933, 0.5933)

=====

(7)
TbYTeSe | GGA-PBE | relaxed

Summary:
- uncorrected formation energy (eV per atom) = -1.59
- spin magnetization (Bohr magnetons per cell) = 0.00

abc: 7.6829 7.6829 7.6829
angles: 31.07 31.07 31.07
Element x y z (fractional)
Tb (0.0000, 0.0000, 0.0000)
Y (0.1874, 0.1874, 0.1874)
Te (0.4264, 0.4264, 0.4264)
Se (0.5954, 0.5954, 0.5954)

=====

(8)
TbYTeSe2 | GGA-PBE | relaxed

Summary:
- uncorrected formation energy (eV per atom) = -1.34
- spin magnetization (Bohr magnetons per cell) = 0.00

abc: 7.7687 7.7687 7.7687
angles: 145.28 145.28 49.92
Element x y z (fractional)
Tb (0.0000, 0.0000, 0.0000)
Y (0.2791, 0.2791, 0.0000)
Te (0.6389, 0.6389, 0.0000)
Se (0.3891, 0.8891, 0.5000)
Se (0.8891, 0.3891, 0.5000)

=====

(9)
Tb8ZnTe4Se3 | GGA-PBE | relaxed

Summary:
- uncorrected formation energy (eV per atom) = -1.39
- spin magnetization (Bohr magnetons per cell) = 0.00

abc: 8.5839 8.5839 8.5839
angles: 58.79 58.79 58.79
Element x y z (fractional)
Tb (0.2396, 0.2396, 0.2396)
Tb (0.2478, 0.7370, 0.7370)
Tb (0.2630, 0.2630, 0.7522)
Tb (0.2630, 0.7522, 0.2630)
Tb (0.7370, 0.2478, 0.7370)
Tb (0.7370, 0.7370, 0.2478)
Tb (0.7522, 0.2630, 0.2630)
Tb (0.7604, 0.7604, 0.7604)
Zn (0.5000, 0.5000, 0.5000)
Te (0.0000, 0.0000, 0.0000)
Te (0.0000, 0.5000, 0.5000)
Te (0.5000, 0.0000, 0.5000)
Te (0.5000, 0.5000, 0.0000)
Se (0.0000, 0.0000, 0.5000)
Se (0.0000, 0.5000, 0.0000)
Se (0.5000, 0.0000, 0.0000)

=====

(10)
Tb6ZnTe3Se2 | GGA-PBE | relaxed

Summary:
- uncorrected formation energy (eV per atom) = -1.34
- spin magnetization (Bohr magnetons per cell) = 0.00

abc: 7.3083 7.3083 7.4798
angles: 99.34 99.34 119.90
Element x y z (fractional)
Tb (0.0735, 0.3987, 0.2224)
Tb (0.2494, 0.2494, 0.7758)
Tb (0.3987, 0.0735, 0.2224)
Tb (0.6013, 0.9265, 0.7776)
Tb (0.7506, 0.7506, 0.2242)
Tb (0.9265, 0.6013, 0.7776)
Zn (0.0000, 0.0000, 0.0000)
Te (0.1705, 0.8295, 0.5000)
Te (0.5000, 0.5000, 0.5000)
Te (0.8295, 0.1705, 0.5000)
Se (0.3345, 0.6655, 0.0000)
Se (0.6655, 0.3345, 0.0000)

=====

(11)
TbThSe | GGA-PBE | relaxed

Summary:
- uncorrected formation energy (eV per atom) = -0.79
- spin magnetization (Bohr magnetons per cell) = 0.00
- relative energy among the computed polymorphs (eV/f.u.) = 0.44

abc: 12.9856 12.9856 3.6314
angles: 90.04 90.04 16.86
Element x y z (fractional)
Tb (0.1949, 0.1949, 0.2494)
Tb (0.8051, 0.8051, 0.7506)
Th (0.0567, 0.0567, 0.7495)
Th (0.9433, 0.9433, 0.2505)
Se (0.3539, 0.3539, 0.2510)
Se (0.6461, 0.6461, 0.7490)

=====

(12)
Tb3Th5Se12 | GGA-PBE | relaxed

Summary:
- uncorrected formation energy (eV per atom) = -1.33
- spin magnetization (Bohr magnetons per cell) = 0.06

abc: 14.8229 14.8229 14.8229
angles: 109.47 109.47 109.47
Element x y z (fractional)
Tb (0.1250, 0.2500, 0.3750)
Tb (0.1250, 0.3750, 0.7500)
Tb (0.2500, 0.3750, 0.1250)
Tb (0.2500, 0.8750, 0.6250)
Tb (0.3750, 0.1250, 0.2500)
Tb (0.3750, 0.7500, 0.1250)
Tb (0.6250, 0.2500, 0.8750)
Tb (0.6250, 0.8750, 0.7500)
Tb (0.7500, 0.1250, 0.3750)
Tb (0.7500, 0.6250, 0.8750)
Tb (0.8750, 0.6250, 0.2500)
Tb (0.8750, 0.7500, 0.6250)
Th (0.0000, 0.0000, 0.0000)
Th (0.0000, 0.0000, 0.5000)
Th (0.0000, 0.5000, 0.0000)
Th (0.0000, 0.5000, 0.5000)
Th (0.1250, 0.7500, 0.8750)
Th (0.1250, 0.8750, 0.2500)
Th (0.2500, 0.1250, 0.8750)
Th (0.2500, 0.6250, 0.3750)
Th (0.3750, 0.2500, 0.6250)
Th (0.3750, 0.6250, 0.7500)
Th (0.5000, 0.0000, 0.0000)
Th (0.5000, 0.0000, 0.5000)
Th (0.5000, 0.5000, 0.0000)
Th (0.5000, 0.5000, 0.5000)
Th (0.6250, 0.3750, 0.2500)
Th (0.6250, 0.7500, 0.3750)
Th (0.7500, 0.3750, 0.6250)
Th (0.7500, 0.8750, 0.1250)
Th (0.8750, 0.1250, 0.7500)
Th (0.8750, 0.2500, 0.1250)
Se (0.0562, 0.2290, 0.1315)
Se (0.0562, 0.3271, 0.9246)
Se (0.0754, 0.6315, 0.4025)
Se (0.0754, 0.9438, 0.6729)
Se (0.0975, 0.7290, 0.6729)
Se (0.0975, 0.8685, 0.4246)
Se (0.1315, 0.0562, 0.2290)
Se (0.1315, 0.5754, 0.9025)
Se (0.1729, 0.2290, 0.5975)
Se (0.1729, 0.4438, 0.5754)
Se (0.2290, 0.1315, 0.0562)
Se (0.2290, 0.5975, 0.1729)
Se (0.2710, 0.3271, 0.9025)
Se (0.2710, 0.4438, 0.3685)
Se (0.3271, 0.9025, 0.2710)
Se (0.3271, 0.9246, 0.0562)
Se (0.3685, 0.2710, 0.4438)
Se (0.3685, 0.5975, 0.9246)
Se (0.4025, 0.0754, 0.6315)
Se (0.4025, 0.8271, 0.7710)
Se (0.4246, 0.0975, 0.8685)
Se (0.4246, 0.8271, 0.5562)
Se (0.4438, 0.3685, 0.2710)
Se (0.4438, 0.5754, 0.1729)
Se (0.5562, 0.4246, 0.8271)
Se (0.5562, 0.6315, 0.7290)
Se (0.5754, 0.1729, 0.4438)
Se (0.5754, 0.9025, 0.1315)
Se (0.5975, 0.1729, 0.2290)
Se (0.5975, 0.9246, 0.3685)
Se (0.6315, 0.4025, 0.0754)
Se (0.6315, 0.7290, 0.5562)
Se (0.6729, 0.0754, 0.9438)
Se (0.6729, 0.0975, 0.7290)
Se (0.7290, 0.5562, 0.6315)
Se (0.7290, 0.6729, 0.0975)
Se (0.7710, 0.4025, 0.8271)
Se (0.7710, 0.8685, 0.9438)
Se (0.8271, 0.5562, 0.4246)
Se (0.8271, 0.7710, 0.4025)
Se (0.8685, 0.4246, 0.0975)
Se (0.8685, 0.9438, 0.7710)
Se (0.9025, 0.1315, 0.5754)
Se (0.9025, 0.2710, 0.3271)
Se (0.9246, 0.0562, 0.3271)
Se (0.9246, 0.3685, 0.5975)
Se (0.9438, 0.6729, 0.0754)
Se (0.9438, 0.7710, 0.8685)

=====

(13)
TbTh2Se4 | GGA-PBE | relaxed

Summary:
- uncorrected formation energy (eV per atom) = -1.64
- spin magnetization (Bohr magnetons per cell) = 0.00
- relative energy among the computed polymorphs (eV/f.u.) = 0.00

abc: 7.6456 7.6456 7.6456
angles: 110.32 110.32 107.78
Element x y z (fractional)
Tb (0.0000, 0.0000, 0.0000)
Tb (0.7500, 0.2500, 0.5000)
Th (0.2600, 0.6250, 0.1350)
Th (0.3750, 0.5100, 0.6350)
Th (0.4900, 0.1250, 0.8650)
Th (0.8750, 0.7400, 0.3650)
Se (0.1150, 0.2176, 0.7416)
Se (0.1233, 0.7260, 0.7584)
Se (0.2740, 0.0324, 0.3974)
Se (0.4760, 0.3733, 0.2584)
Se (0.6267, 0.8850, 0.1026)
Se (0.6350, 0.8767, 0.6026)
Se (0.7824, 0.5240, 0.8974)
Se (0.9676, 0.3650, 0.2416)

=====

(14)
TbTh3Se4 | GGA-PBE | relaxed

Summary:
- uncorrected formation energy (eV per atom) = -1.59
- spin magnetization (Bohr magnetons per cell) = 0.00

abc: 7.2282 8.5486 7.1313
angles: 90.00 110.58 90.00
Element x y z (fractional)
Tb (0.0000, 0.1230, 0.2500)
Tb (0.0000, 0.8770, 0.7500)
Th (0.0000, 0.3756, 0.7500)
Th (0.0000, 0.6244, 0.2500)
Th (0.5000, 0.1256, 0.7500)
Th (0.5000, 0.3772, 0.2500)
Th (0.5000, 0.6228, 0.7500)
Th (0.5000, 0.8744, 0.2500)
Se (0.2421, 0.1211, 0.0009)
Se (0.2421, 0.8789, 0.5009)
Se (0.2441, 0.3691, 0.4943)
Se (0.2441, 0.6309, 0.9943)
Se (0.7559, 0.3691, 0.0057)
Se (0.7559, 0.6309, 0.5057)
Se (0.7579, 0.1211, 0.4991)
Se (0.7579, 0.8789, 0.9991)

=====

(15)
Tb3ThSe6 | GGA-PBE | relaxed

Summary:
- uncorrected formation energy (eV per atom) = -1.84
- spin magnetization (Bohr magnetons per cell) = 0.00

abc: 11.6248 4.1073 11.9351
angles: 90.00 108.45 90.00
Element x y z (fractional)
Tb (0.0695, 0.2500, 0.1656)
Tb (0.1790, 0.7500, 0.5006)
Tb (0.3405, 0.2500, 0.9196)
Tb (0.6595, 0.7500, 0.0804)
Tb (0.8210, 0.2500, 0.4994)
Tb (0.9305, 0.7500, 0.8344)
Th (0.4536, 0.2500, 0.3035)
Th (0.5464, 0.7500, 0.6965)
Se (0.0176, 0.2500, 0.3826)
Se (0.1048, 0.2500, 0.9371)
Se (0.2449, 0.7500, 0.2756)
Se (0.3082, 0.7500, 0.7480)
Se (0.3843, 0.2500, 0.5333)
Se (0.4171, 0.7500, 0.0976)
Se (0.5829, 0.2500, 0.9024)
Se (0.6157, 0.7500, 0.4667)
Se (0.6918, 0.2500, 0.2520)
Se (0.7551, 0.2500, 0.7244)
Se (0.8952, 0.7500, 0.0629)
Se (0.9824, 0.7500, 0.6174)

=====

(16)
Tb3Th2Se6 | GGA-PBE | relaxed

Summary:
- uncorrected formation energy (eV per atom) = -1.76
- spin magnetization (Bohr magnetons per cell) = 0.00

abc: 7.1332 7.1332 7.1569
angles: 99.60 99.60 120.24
Element x y z (fractional)
Tb (0.0000, 0.0000, 0.0000)
Tb (0.3341, 0.6659, 0.0000)
Tb (0.6659, 0.3341, 0.0000)
Th (0.1655, 0.8345, 0.5000)
Th (0.8345, 0.1655, 0.5000)
Se (0.0913, 0.4157, 0.2458)
Se (0.2620, 0.2620, 0.7504)
Se (0.4157, 0.0913, 0.2458)
Se (0.5843, 0.9087, 0.7542)
Se (0.7380, 0.7380, 0.2496)
Se (0.9087, 0.5843, 0.7542)

=====

(17)
Tb2ThSe3 | GGA-PBE | relaxed

Summary:
- uncorrected formation energy (eV per atom) = -1.67
- spin magnetization (Bohr magnetons per cell) = 0.00

abc: 7.2295 7.2295 7.2295
angles: 147.30 132.16 59.15
Element x y z (fractional)
Tb (0.1632, 0.1632, 0.0000)
Tb (0.8368, 0.8368, 0.0000)
Th (0.5000, 0.5000, 0.0000)
Se (0.0000, 0.5000, 0.5000)
Se (0.3258, 0.8258, 0.5000)
Se (0.6742, 0.1742, 0.5000)

=====

(18)
Tb4ThSe6 | GGA-PBE | relaxed

Summary:
- uncorrected formation energy (eV per atom) = -1.78
- spin magnetization (Bohr magnetons per cell) = 0.00

abc: 7.0270 7.0270 20.6701
angles: 90.00 90.00 146.56
Element x y z (fractional)
Tb (0.0877, 0.9123, 0.6243)
Tb (0.0877, 0.9123, 0.8757)
Tb (0.3599, 0.6401, 0.5373)
Tb (0.3599, 0.6401, 0.9627)
Tb (0.6401, 0.3599, 0.0373)
Tb (0.6401, 0.3599, 0.4627)
Tb (0.9123, 0.0877, 0.1243)
Tb (0.9123, 0.0877, 0.3757)
Th (0.1555, 0.8445, 0.2500)
Th (0.8445, 0.1555, 0.7500)
Se (0.0000, 0.0000, 0.0000)
Se (0.0000, 0.0000, 0.5000)
Se (0.1847, 0.8153, 0.7500)
Se (0.2664, 0.7336, 0.0938)
Se (0.2664, 0.7336, 0.4062)
Se (0.4490, 0.5510, 0.6666)
Se (0.4490, 0.5510, 0.8334)
Se (0.5510, 0.4490, 0.1666)
Se (0.5510, 0.4490, 0.3334)
Se (0.7336, 0.2664, 0.5938)
Se (0.7336, 0.2664, 0.9062)
Se (0.8153, 0.1847, 0.2500)

=====

(19)
TbTh2Se4 | GGA-PBE | relaxed

Summary:
- uncorrected formation energy (eV per atom) = -1.62
- spin magnetization (Bohr magnetons per cell) = 0.00
- relative energy among the computed polymorphs (eV/f.u.) = 0.10

abc: 7.0542 7.0542 14.5214
angles: 90.00 90.00 147.40
Element x y z (fractional)
Tb (0.1141, 0.8859, 0.7500)
Tb (0.8859, 0.1141, 0.2500)
Th (0.3557, 0.6443, 0.5654)
Th (0.3557, 0.6443, 0.9346)
Th (0.6443, 0.3557, 0.0654)
Th (0.6443, 0.3557, 0.4346)
Se (0.0000, 0.0000, 0.0000)
Se (0.0000, 0.0000, 0.5000)
Se (0.2918, 0.7082, 0.1322)
Se (0.2918, 0.7082, 0.3678)
Se (0.4558, 0.5442, 0.7500)
Se (0.5442, 0.4558, 0.2500)
Se (0.7082, 0.2918, 0.6322)
Se (0.7082, 0.2918, 0.8678)